Entry 1:
# MgBeRe4

An optimized crystal structure of MgBeRe4 (GGA-PBE, Alexandria via LeMat-Bulk).

The structure belongs to space group F-43m (No. 216); the cell edges are 7.3295, 7.3295 and 7.3295 Å and the angles 90.00°, 90.00° and 90.00°. The distinct sites, in fractional coordinates, are Mg at (0.0000, 0.0000, 0.0000), Be at (0.2500, 0.2500, 0.2500) and Re at (0.1247, 0.1247, 0.6247).

For the density of states at the Fermi level, the calculation gives 17.87 states/eV per cell. For the calculated formation energy, the calculation gives 0.54 eV/atom.

=====

Entry 2:
# CuPd3F

An optimized crystal structure of CuPd3F (GGA-PBE, Alexandria via LeMat-Bulk).

The structure belongs to space group Pm-3m (No. 221); the cell edges are 4.3049, 4.3049 and 4.3049 Å and the angles 90.00°, 90.00° and 90.00°. The distinct sites, in fractional coordinates, are Cu at (0.0000, 0.0000, 0.0000), Pd at (0.0000, 0.5000, 0.5000) and F at (0.5000, 0.5000, 0.5000).

The value obtained for the formation energy (no corrections) is 0.375 eV per atom. For the density of states at the Fermi level, the calculation gives 6.09 states/eV per cell. The energy above the most stable polymorph in this dataset is 0 meV per atom.

=====

Entry 3:
# Ba2Sr4Ag

An optimized crystal structure of Ba2Sr4Ag (GGA-PBE, Alexandria via LeMat-Bulk).

The structure belongs to space group I4/mmm (No. 139); the cell edges are 6.1480, 6.1480 and 21.4651 Å and the angles 90.00°, 90.00° and 90.00°. The distinct sites, in fractional coordinates, are Ba at (0.0000, 0.0000, 0.1598), Sr at (0.0000, 0.0000, 0.3539), Sr at (0.0000, 0.5000, 0.0000) and Ag at (0.0000, 0.0000, 0.5000).

For the density of states at the Fermi level, the calculation gives 16.43 states/eV per cell. The energy above the most stable polymorph in this dataset is 71 meV per atom. For the calculated formation energy, the calculation gives 0.06 eV/atom.

=====

Entry 4:
# HoU2P4

An optimized crystal structure of HoU2P4 (GGA-PBE, Alexandria via LeMat-Bulk).

The structure belongs to space group Cmcm (No. 63); the cell edges are 3.9223, 13.1552 and 12.3216 Å and the angles 90.00°, 90.00° and 90.00°. The distinct sites, in fractional coordinates, are Ho at (0.0000, 0.1146, 0.2500), U at (0.0000, 0.3676, 0.0653), P at (0.0000, 0.0000, 0.0000), P at (0.0000, 0.2648, 0.6262) and P at (0.0000, 0.4668, 0.2500).

For the density of states at the Fermi level, the calculation gives 39.26 states/eV per cell. For the calculated formation energy, the calculation gives -0.81 eV/atom.

=====

Entry 5:
# LiSbSe2

An optimized crystal structure of LiSbSe2 (GGA-PBE, Alexandria via LeMat-Bulk).

The structure belongs to space group I-42d (No. 122); the cell edges are 6.0688, 6.0688 and 13.0829 Å and the angles 90.00°, 90.00° and 90.00°. The distinct sites, in fractional coordinates, are Li at (0.0000, 0.0000, 0.0000), Sb at (0.0000, 0.0000, 0.5000) and Se at (0.2259, 0.2500, 0.1250).

The value obtained for the formation energy (no corrections) is -0.502 eV per atom. For the density of states at the Fermi level, the calculation gives 0.00 states/eV per cell.

=====

Entry 6:
# Nd8SiOs3Br4

An optimized crystal structure of Nd8SiOs3Br4 (GGA-PBE, Alexandria via LeMat-Bulk).

The structure belongs to space group R-3m (No. 166, hexagonal axes); the cell edges are 8.3828, 8.3828 and 23.1549 Å and the angles 90.00°, 90.00° and 120.00°. The distinct sites, in fractional coordinates, are Nd at (0.0000, 0.0000, 0.2349), Nd at (0.0122, 0.5061, 0.7684), Si at (0.0000, 0.0000, 0.5000), Os at (0.0000, 0.5000, 0.5000), Br at (0.0000, 0.0000, 0.0000) and Br at (0.0000, 0.5000, 0.0000).

The value obtained for the formation energy (no corrections) is -0.749 eV per atom. For the density of states at the Fermi level, the calculation gives 23.18 states/eV per cell.

=====

Entry 7:
# KBiI2Br

An optimized crystal structure of KBiI2Br (GGA-PBE, Alexandria via LeMat-Bulk).

The structure belongs to space group P4/mmm (No. 123); the cell edges are 6.3016, 6.3016 and 5.9038 Å and the angles 90.00°, 90.00° and 90.00°. The distinct sites, in fractional coordinates, are K at (0.0000, 0.0000, 0.0000), Bi at (0.5000, 0.5000, 0.5000), I at (0.0000, 0.5000, 0.5000) and Br at (0.5000, 0.5000, 0.0000).

The value obtained for the formation energy (no corrections) is -0.778 eV per atom. For the density of states at the Fermi level, the calculation gives 0.25 states/eV per cell.

=====

Entry 8:
# Cs2VTeBr6

An optimized crystal structure of Cs2VTeBr6 (GGA-PBE, Alexandria via LeMat-Bulk).

The structure belongs to space group I4/mmm (No. 139); the cell edges are 8.5750, 8.5750 and 10.6820 Å and the angles 90.00°, 90.00° and 90.00°. The distinct sites, in fractional coordinates, are Cs at (0.0000, 0.5000, 0.2500), V at (0.0000, 0.0000, 0.0000), Te at (0.0000, 0.0000, 0.5000), Br at (0.0000, 0.0000, 0.2462) and Br at (0.2093, 0.2093, 0.0000).

The value obtained for the formation energy (no corrections) is -0.957 eV per atom. For the density of states at the Fermi level, the calculation gives 14.10 states/eV per cell.